Crystalline Pm3Pr4Cd4 at its relaxed geometry, computed with PBE-GGA.

a = 5.027 Å, b = 8.424 Å, c = 9.736 Å
α = 115.63°, β = 104.96°, γ = 90.00°
Element x y z (fractional)
Pm 0.114 0.114 0.229
Pm 0.886 0.886 0.771
Pm 0.000 0.500 0.000
Pr 0.331 0.127 0.662
Pr 0.669 0.465 0.338
Pr 0.669 0.873 0.338
Pr 0.331 0.535 0.662
Cd 0.218 0.718 0.436
Cd 0.782 0.282 0.564
Cd 0.500 0.829 0.000
Cd 0.500 0.171 0.000

Total moment, μB per formula unit: 0.00
Volume, Å³ per atom: 32.382
E_form, eV/atom: -0.05
Electronic total energy, eV per atom: -3.420